Computed, not measured: a geometry-optimized SmNiO3 structure at the GGA+U level of DFT.

Cell and atoms, written as POSCAR:
```
SmNiO3
1.0
-2.177 -3.240 3.639
-0.812 -3.860 -3.922
6.885 -2.958 1.485
Ni O Sm
4 12 4
Direct
0.500 0.000 0.000 Ni
0.500 0.000 0.500 Ni
0.000 0.500 0.000 Ni
0.000 0.500 0.500 Ni
0.705 0.298 0.046 O
0.295 0.702 0.546 O
0.088 0.480 0.250 O
0.205 0.202 0.954 O
0.912 0.520 0.750 O
0.705 0.298 0.454 O
0.795 0.798 0.454 O
0.205 0.202 0.546 O
0.588 0.020 0.750 O
0.412 0.980 0.250 O
0.295 0.702 0.954 O
0.795 0.798 0.046 O
0.985 0.063 0.250 Sm
0.485 0.437 0.750 Sm
0.015 0.937 0.750 Sm
0.515 0.563 0.250 Sm
```

Output
- Total energy: -6.564 eV/atom
- M_tot: 4.00 μB/cell